## TbAsO3 (PBE)

Data for TbAsO3 after structural relaxation.

extended XYZ file:
```
10
Lattice="3.807 -0.591 0.302 -0.877 7.029 3.274 0.453 1.026 6.761" Properties=species:S:1:pos:R:3 pbc="T T T"
Tb 3.295 2.949 6.493
Tb 1.902 5.840 5.359
O 3.703 0.554 6.607
O 2.371 1.206 1.971
O -0.114 5.190 4.736
O 1.504 4.190 6.814
O 1.959 1.874 4.741
O -0.569 7.507 6.809
As 1.207 2.052 2.985
As 0.183 7.328 8.566
```

Output
total DFT energy (no corrections) = -71.648 eV per cell
formation energy (no corrections) = -2334 meV/atom
calculated volume = 16.252 A^3/atom
calculated density = 5.76 g cm⁻³

=====

## TbAsO4 (PBE)

Data for TbAsO4 after structural relaxation.

extended XYZ file:
```
12
Lattice="5.903 1.033 0.254 -2.653 5.371 -0.255 -2.355 -2.833 4.734" Properties=species:S:1:pos:R:3 pbc="T T T"
As -1.248 2.645 2.863
As 2.143 0.926 1.870
Tb 2.881 4.578 0.622
Tb -1.986 -1.007 4.110
O 2.107 2.403 0.989
O 0.930 0.083 0.989
O -0.035 3.488 3.743
O -1.211 1.168 3.743
O 3.676 0.148 1.939
O -2.781 3.422 2.793
O 1.862 1.069 3.560
O -0.966 2.502 1.172
```

Output
total DFT energy (no corrections) = -86.797 eV per cell
formation energy (no corrections) = -2381 meV/atom
calculated volume = 13.711 A^3/atom
calculated density = 6.01 g cm⁻³

=====

## Tb2AsO5 (PBE)

Data for Tb2AsO5 after structural relaxation.

extended XYZ file:
```
32
Lattice="-2.568 5.938 -1.836 0.375 -2.002 -6.999 -8.323 -3.637 0.594" Properties=species:S:1:pos:R:3 pbc="T T T"
O -5.937 -1.088 -6.229
O -2.682 -0.767 -4.557
O -7.833 1.065 -3.684
O -4.345 1.176 -4.764
O -7.603 2.882 -1.630
O -2.896 3.773 -5.940
O -1.515 0.283 -6.845
O -8.522 -1.136 -4.998
O -7.273 2.160 -6.173
O -4.578 1.386 -2.011
O -9.001 0.015 -1.396
O -3.242 -1.862 -2.068
O -3.359 4.839 -2.635
O -3.861 1.642 -7.432
O -2.913 -2.584 -6.610
O -6.171 -0.878 -3.477
O -1.994 1.434 -3.242
O -6.654 -1.344 -0.809
O -7.619 -3.475 -2.301
O -7.156 -4.541 -5.606
As -6.947 -0.200 -4.929
As -5.556 -3.738 -6.002
As -3.568 0.498 -3.312
As -4.959 4.037 -2.238
Tb -0.550 0.029 -4.765
Tb -5.499 -2.671 -2.234
Tb -9.966 0.270 -3.476
Tb -3.653 -0.425 -6.573
Tb -1.738 2.488 -7.466
Tb -8.778 -2.189 -0.775
Tb -6.862 0.723 -1.667
Tb -5.017 2.969 -6.007
```

Output
total DFT energy (no corrections) = -239.631 eV per cell
formation energy (no corrections) = -2651 meV/atom
calculated volume = 13.940 A^3/atom
calculated density = 7.04 g cm⁻³